TlMo3Ru, optimized geometry, DFT PBE; calculated total energy = -0.2690 Ha/atom; formation energy from the elements = 145 kJ/mol of atoms; energy above the most stable polymorph in this dataset = 0.00 eV/f.u.; DOS at the Fermi energy = 1.30 states/eV/atom
1.0
4.732 0.000 0.000
0.000 4.732 0.000
0.000 0.000 4.732
Ru Tl Mo
1 1 3
direct
0.000 0.000 0.000 Ru
0.500 0.500 0.500 Tl
0.000 0.500 0.000 Mo
0.000 0.000 0.500 Mo
0.500 0.000 0.000 Mo

CaMn3Ag, optimized geometry, DFT PBE; calculated total energy = -0.1729 Ha/atom; formation energy from the elements = 170 kJ/mol of atoms; energy above the most stable polymorph in this dataset = 4.51 eV/f.u.; DOS at the Fermi energy = 0.68 states/eV/atom
1.0
-2.758 1.495 3.674
2.182 -3.164 2.926
3.312 3.330 1.131
Ca Mn Ag
1 3 1
direct
0.000 0.000 0.000 Ca
0.000 0.500 0.000 Mn
0.000 0.000 0.500 Mn
0.500 0.000 0.000 Mn
0.500 0.500 0.500 Ag

Q: Which of these has the lowest DOS at the Fermi energy?
A: CaMn3Ag

Q: Which value of calculated total energy does entry 1 give?
A: -0.2690 Ha/atom

Q: Which of these has the lowest DOS at the Fermi energy?
A: CaMn3Ag

Q: Among the records above, which one has the lowest formation energy from the elements?
A: TlMo3Ru